(1)
## Ti2Al4Fe (PBE)

Data for a geometry-optimized Ti2Al4Fe structure.

a b c (Å): 7.3217 7.3217 7.3217
angles (deg): 145.66 145.66 49.35
Closest atoms and distances in Å follow each position.
Atoms (fractional coordinates):
Ti 0.1287 0.1287 0.0000  5 Al 2.60-2.76
Ti 0.8713 0.8713 0.0000  5 Al 2.60-2.76
Al 0.0000 0.5000 0.5000  2 Fe 2.16
Al 0.3240 0.3240 0.0000  1 Fe 2.34, 1 Ti 2.60
Al 0.5000 0.0000 0.5000  2 Fe 2.16
Al 0.6760 0.6760 0.0000  1 Fe 2.34, 1 Ti 2.60
Fe 0.5000 0.5000 0.0000  6 Al 2.16-2.34

Summary:
- mass density (g/cm3) = 3.47
- E_tot (eV/atom) = -5.391
- N(E_F) (states/eV/cell) = 6.36

---

(2)
## YSc2SbO (PBE)

Data for a geometry-optimized YSc2SbO structure.

a b c (Å): 4.4099 4.4099 4.9382
angles (deg): 90.00 90.00 90.00
Closest atoms and distances in Å follow each position.
Atoms (fractional coordinates):
Y 0.0000 0.0000 0.0000  2 O 2.47
Sc 0.0000 0.5000 0.5000  2 O 2.20
Sc 0.5000 0.0000 0.5000  2 O 2.20
Sb 0.5000 0.5000 0.0000  4 Y 3.12, 8 Sc 3.31
O 0.0000 0.0000 0.5000  4 Sc 2.20, 2 Y 2.47

Summary:
- mass density (g/cm3) = 5.47
- raw formation energy (eV/f.u.) = -7.441
- E_tot (eV/atom) = -7.130
- N(E_F) (states/eV/cell) = 5.57

---

(3)
## FeNi3P (PBE)

Data for a geometry-optimized FeNi3P structure.

a b c (Å): 4.1134 4.1134 4.1134
angles (deg): 90.00 90.00 90.00
Closest atoms and distances in Å follow each position.
Atoms (fractional coordinates):
Fe 0.0000 0.0000 0.0000  12 Ni 2.91
Ni 0.0000 0.5000 0.5000  2 P 2.06
Ni 0.5000 0.0000 0.5000  2 P 2.06
Ni 0.5000 0.5000 0.0000  2 P 2.06
P 0.5000 0.5000 0.5000  6 Ni 2.06

Summary:
- mass density (g/cm3) = 6.27
- E_tot (eV/atom) = -5.976
- N(E_F) (states/eV/cell) = 7.28

---

(4)
## PuCu2As3 (PBE)

Data for a geometry-optimized PuCu2As3 structure.

a b c (Å): 5.3581 11.3456 4.1940
angles (deg): 90.00 90.00 90.00
Closest atoms and distances in Å follow each position.
Atoms (fractional coordinates):
Pu 0.2500 0.2500 0.0033  6 As 2.68-2.87
Pu 0.7500 0.7500 0.9967  6 As 2.68-2.87
Cu 0.2500 0.6333 0.4928  3 As 2.40-2.48, 1 Cu 2.65
Cu 0.2500 0.8667 0.4928  3 As 2.40-2.48, 1 Cu 2.65
Cu 0.7500 0.1333 0.5072  3 As 2.40-2.48, 1 Cu 2.65
Cu 0.7500 0.3667 0.5072  3 As 2.40-2.48, 1 Cu 2.65
As 0.2500 0.0778 0.5038  1 Cu 2.40
As 0.2500 0.4222 0.5038  1 Cu 2.40
As 0.2500 0.7500 0.9937  4 Cu 2.48, 2 Pu 2.68
As 0.7500 0.2500 0.0063  4 Cu 2.48, 2 Pu 2.68
As 0.7500 0.5778 0.4962  1 Cu 2.40
As 0.7500 0.9222 0.4962  1 Cu 2.40

Summary:
- mass density (g/cm3) = 7.76
- E_tot (eV/atom) = -6.208
- N(E_F) (states/eV/cell) = 19.55

---

(5)
## HoTmAlCd (PBE)

Data for a geometry-optimized HoTmAlCd structure.

a b c (Å): 3.6055 3.6055 7.4290
angles (deg): 90.00 90.00 90.00
Closest atoms and distances in Å follow each position.
Atoms (fractional coordinates):
Ho 0.0000 0.0000 0.0000  4 Al 3.12, 4 Cd 3.23
Tm 0.0000 0.0000 0.4769  4 Al 3.09, 4 Cd 3.18
Al 0.5000 0.5000 0.2413  4 Tm 3.09, 4 Ho 3.12
Cd 0.5000 0.5000 0.7338  4 Tm 3.18, 4 Ho 3.23

Summary:
- mass density (g/cm3) = 8.14
- E_tot (eV/atom) = -3.788
- N(E_F) (states/eV/cell) = 2.29

---

(6)
## Sr2NbTe (PBE)

Data for a geometry-optimized Sr2NbTe structure.

a b c (Å): 7.3114 7.3114 7.3114
angles (deg): 104.10 104.10 120.84
Closest atoms and distances in Å follow each position.
Atoms (fractional coordinates):
Sr 0.1097 0.6250 0.9847  2 Te 3.21, 2 Nb 3.40
Sr 0.3750 0.3597 0.4847  2 Te 3.21, 2 Nb 3.40
Sr 0.6403 0.1250 0.0153  2 Te 3.21, 2 Nb 3.40
Sr 0.8750 0.8903 0.5153  2 Te 3.21, 2 Nb 3.40
Nb 0.2500 0.7500 0.5000  4 Sr 3.40, 2 Te 3.61
Nb 0.5000 0.5000 0.0000  4 Sr 3.40, 2 Te 3.61
Te 0.0000 0.0000 0.0000  4 Sr 3.21
Te 0.7500 0.2500 0.5000  4 Sr 3.21

Summary:
- mass density (g/cm3) = 4.50
- raw formation energy (eV/f.u.) = 1.388
- E_tot (eV/atom) = -3.797
- N(E_F) (states/eV/cell) = 9.30

---

(7)
## Ba2AsPdI (PBE)

Data for a geometry-optimized Ba2AsPdI structure.

a b c (Å): 6.2936 6.2936 4.7061
angles (deg): 90.00 90.00 90.00
Closest atoms and distances in Å follow each position.
Atoms (fractional coordinates):
Ba 0.0000 0.5000 0.0000  2 Pd 3.15
Ba 0.5000 0.0000 0.0000  2 Pd 3.15
As 0.0000 0.0000 0.5000  2 Pd 2.35
Pd 0.0000 0.0000 0.0000  2 As 2.35
I 0.5000 0.5000 0.5000  8 Ba 3.93

Summary:
- mass density (g/cm3) = 5.19
- raw formation energy (eV/f.u.) = -4.848
- E_tot (eV/atom) = -4.017
- N(E_F) (states/eV/cell) = 2.02

---

(8)
## Si4SbRh (PBE)

Data for a geometry-optimized Si4SbRh structure.

a b c (Å): 5.1995 5.1995 5.1995
angles (deg): 60.00 60.00 60.00
Closest atoms and distances in Å follow each position.
Atoms (fractional coordinates):
Si 0.1246 0.1246 0.1246  6 Si 2.59-2.61
Si 0.1246 0.1246 0.6261  6 Si 2.59-2.61
Si 0.1246 0.6261 0.1246  6 Si 2.59-2.61
Si 0.6261 0.1246 0.1246  6 Si 2.59-2.61
Sb 0.5000 0.5000 0.5000  12 Si 3.05, 4 Rh 3.18
Rh 0.7500 0.7500 0.7500  12 Si 3.05, 4 Sb 3.18

Summary:
- mass density (g/cm3) = 5.63
- raw formation energy (eV/f.u.) = 3.149
- E_tot (eV/atom) = -5.003
- N(E_F) (states/eV/cell) = 4.96

---

(9)
## Na3Dy2BiO6 (PBE)

Data for a geometry-optimized Na3Dy2BiO6 structure.

a b c (Å): 6.0024 6.0024 5.9731
angles (deg): 99.67 99.67 119.99
Closest atoms and distances in Å follow each position.
Atoms (fractional coordinates):
Na 0.0000 0.0000 0.0000  6 O 2.49-2.59
Na 0.3335 0.6665 0.0000  6 O 2.49-2.60
Na 0.6665 0.3335 0.0000  6 O 2.49-2.60
Dy 0.1668 0.8332 0.5000  6 O 2.30-2.31
Dy 0.8332 0.1668 0.5000  6 O 2.30-2.31
Bi 0.5000 0.5000 0.5000  6 O 2.41-2.42
O 0.0802 0.4278 0.2841  2 Dy 2.30-2.31, 1 Bi 2.41, 1 Na 2.49
O 0.2249 0.2249 0.7178  2 Dy 2.31, 1 Bi 2.42, 3 Na 2.49-2.59
O 0.4278 0.0802 0.2841  2 Dy 2.30-2.31, 1 Bi 2.41, 1 Na 2.49
O 0.5722 0.9198 0.7159  2 Dy 2.30-2.31, 1 Bi 2.41, 1 Na 2.49
O 0.7751 0.7751 0.2822  2 Dy 2.31, 1 Bi 2.42, 3 Na 2.49-2.59
O 0.9198 0.5722 0.7159  2 Dy 2.30-2.31, 1 Bi 2.41, 1 Na 2.49

Summary:
- mass density (g/cm3) = 6.61
- raw formation energy (eV/f.u.) = -27.830
- E_tot (eV/atom) = -6.218
- N(E_F) (states/eV/cell) = 0.00

---

(10)
## LaMgSc2 (PBE)

Data for a geometry-optimized LaMgSc2 structure.

a b c (Å): 5.3707 5.3707 5.3707
angles (deg): 120.50 120.50 89.14
Closest atoms and distances in Å follow each position.
Atoms (fractional coordinates):
La 0.0000 0.0000 0.0000  4 Mg 3.28, 4 Sc 3.28
Mg 0.2500 0.7500 0.5000  4 La 3.28, 4 Sc 3.28
Sc 0.5000 0.5000 0.0000  4 Mg 3.28, 4 Sc 3.28
Sc 0.7500 0.2500 0.5000  4 La 3.28, 4 Sc 3.28

Summary:
- mass density (g/cm3) = 3.87
- E_tot (eV/atom) = -4.746
- N(E_F) (states/eV/cell) = 5.79

---

(11)
## CeGdBeAl (PBE)

Data for a geometry-optimized CeGdBeAl structure.

a b c (Å): 5.0232 5.0232 5.0232
angles (deg): 60.00 60.00 60.00
Closest atoms and distances in Å follow each position.
Atoms (fractional coordinates):
Ce 0.0000 0.0000 0.0000  4 Be 3.08, 4 Al 3.08
Gd 0.5000 0.5000 0.5000  4 Be 3.08, 4 Al 3.08
Be 0.7500 0.7500 0.7500  4 Gd 3.08, 4 Ce 3.08
Al 0.2500 0.2500 0.2500  4 Gd 3.08, 4 Ce 3.08

Summary:
- mass density (g/cm3) = 6.18
- E_tot (eV/atom) = -6.924
- N(E_F) (states/eV/cell) = 4.10

---

(12)
## Cd2Ag2HgAu2 (PBE)

Data for a geometry-optimized Cd2Ag2HgAu2 structure.

a b c (Å): 4.7824 4.7824 10.0162
angles (deg): 90.00 90.00 120.00
Closest atoms and distances in Å follow each position.
Atoms (fractional coordinates):
Cd 0.0000 0.0000 0.2080  3 Au 2.78, 1 Hg 2.92, 3 Ag 2.94
Cd 0.0000 0.0000 0.7920  3 Au 2.78, 1 Hg 2.92, 3 Ag 2.94
Ag 0.3333 0.6667 0.8935  4 Au 2.83-2.85, 3 Cd 2.94
Ag 0.6667 0.3333 0.1065  4 Au 2.83-2.85, 3 Cd 2.94
Hg 0.0000 0.0000 0.5000  2 Cd 2.92
Au 0.3333 0.6667 0.1764  3 Cd 2.78, 4 Ag 2.83-2.85
Au 0.6667 0.3333 0.8236  3 Cd 2.78, 4 Ag 2.83-2.85

Summary:
- mass density (g/cm3) = 8.66
- E_tot (eV/atom) = -1.983
- N(E_F) (states/eV/cell) = 1.07

---

(13)
## ZrCd2CoB (PBE)

Data for a geometry-optimized ZrCd2CoB structure.

a b c (Å): 4.8697 4.8697 3.7956
angles (deg): 90.00 90.00 90.00
Closest atoms and distances in Å follow each position.
Atoms (fractional coordinates):
Zr 0.0000 0.0000 0.0000  8 Cd 3.09, 4 B 3.44
Cd 0.0000 0.5000 0.5000  2 Co 2.43
Cd 0.5000 0.0000 0.5000  2 Co 2.43
Co 0.5000 0.5000 0.5000  2 B 1.90
B 0.5000 0.5000 0.0000  2 Co 1.90

Summary:
- mass density (g/cm3) = 7.12
- E_tot (eV/atom) = -4.286
- N(E_F) (states/eV/cell) = 2.97

---

(14)
## CdMoPb2 (PBE)

Data for a geometry-optimized CdMoPb2 structure.

a b c (Å): 11.4492 11.4492 11.4492
angles (deg): 16.10 16.10 16.10
Closest atoms and distances in Å follow each position.
Atoms (fractional coordinates):
Cd 0.0000 0.0000 0.0000  6 Cd 3.21
Mo 0.5000 0.5000 0.5000  6 Pb 3.02, 6 Mo 3.21
Pb 0.2369 0.2369 0.2369  3 Mo 3.02, 6 Pb 3.21
Pb 0.7631 0.7631 0.7631  3 Mo 3.02, 6 Pb 3.21

Summary:
- mass density (g/cm3) = 10.28
- E_tot (eV/atom) = -4.291
- N(E_F) (states/eV/cell) = 4.20

---

(15)
## TcSbP2 (PBE)

Data for a geometry-optimized TcSbP2 structure.

a b c (Å): 8.5650 8.5650 8.5650
angles (deg): 21.01 21.01 21.01
Closest atoms and distances in Å follow each position.
Atoms (fractional coordinates):
Tc 0.0000 0.0000 0.0000  6 P 2.45
Sb 0.5000 0.5000 0.5000  6 P 3.11, 6 Sb 3.12
P 0.2676 0.2676 0.2676  3 Tc 2.45
P 0.7324 0.7324 0.7324  3 Tc 2.45

Summary:
- mass density (g/cm3) = 6.61
- raw formation energy (eV/f.u.) = -0.030
- E_tot (eV/atom) = -6.334
- N(E_F) (states/eV/cell) = 2.98

---

(16)
## CdHg2 (PBE)

Data for a geometry-optimized CdHg2 structure.

a b c (Å): 6.3093 6.3093 6.3093
angles (deg): 60.00 60.00 60.00
Closest atoms and distances in Å follow each position.
Atoms (fractional coordinates):
Cd 0.1250 0.1250 0.1250  12 Hg 3.70, 4 Cd 3.86
Cd 0.8750 0.8750 0.8750  12 Hg 3.70, 4 Cd 3.86
Hg 0.0000 0.5000 0.5000  6 Hg 3.15
Hg 0.5000 0.0000 0.5000  6 Hg 3.15
Hg 0.5000 0.5000 0.0000  6 Hg 3.15
Hg 0.5000 0.5000 0.5000  6 Hg 3.15

Summary:
- mass density (g/cm3) = 9.60
- E_tot (eV/atom) = -0.381
- N(E_F) (states/eV/cell) = 0.53

---

(17)
## Ta2CrOs (PBE)

Data for a geometry-optimized Ta2CrOs structure.

a b c (Å): 4.4620 4.4620 5.2353
angles (deg): 100.50 100.50 39.01
Closest atoms and distances in Å follow each position.
Atoms (fractional coordinates):
Ta 0.2462 0.2462 0.2433  3 Cr 2.67-2.69, 3 Os 2.68-2.73, 4 Ta 2.96-2.98
Ta 0.7538 0.7538 0.7567  3 Cr 2.67-2.69, 3 Os 2.68-2.73, 4 Ta 2.96-2.98
Cr 0.5000 0.5000 0.0000  6 Ta 2.67-2.69, 2 Cr 2.98
Os 0.0000 0.0000 0.5000  6 Ta 2.68-2.73, 2 Os 2.98

Summary:
- mass density (g/cm3) = 15.58
- E_tot (eV/atom) = -10.987
- N(E_F) (states/eV/cell) = 2.59